Entry 1:
Computed, not measured: TbPa2Tc9 after structural relaxation at the GGA-PBE level of DFT.

Structure (POSCAR):
```
TbPa2Tc9
1.0
2.603 1.503 9.164
-2.603 1.503 9.164
0.000 -3.006 9.164
Tb Pa Tc
1 2 9
direct
0.000 0.000 0.000
0.146 0.146 0.146
0.854 0.854 0.854
0.076 0.585 0.585
0.336 0.336 0.336
0.415 0.415 0.924
0.415 0.924 0.415
0.500 0.500 0.500
0.585 0.076 0.585
0.585 0.585 0.076
0.664 0.664 0.664
0.924 0.415 0.415
```

Energy of formation from the pure elements   -0.06 eV/atom
Size of the total moment   0.00 Bohr magnetons per cell

***

Entry 2:
Computed, not measured: Ce5Hg2Pb after structural relaxation at the GGA-PBE level of DFT.

Structure (POSCAR):
```
Ce5Hg2Pb
1.0
2.783 -5.854 0.000
2.783 5.854 0.000
0.000 0.000 13.824
Ce Hg Pb
10 4 2
direct
0.039 0.961 0.750
0.103 0.897 0.034
0.103 0.897 0.466
0.423 0.577 0.071
0.423 0.577 0.429
0.577 0.423 0.571
0.577 0.423 0.929
0.897 0.103 0.534
0.897 0.103 0.966
0.961 0.039 0.250
0.303 0.697 0.637
0.303 0.697 0.863
0.697 0.303 0.137
0.697 0.303 0.363
0.244 0.756 0.250
0.756 0.244 0.750
```

Energy of formation from the pure elements   -0.11 eV/atom
Size of the total moment   2.92 Bohr magnetons per cell

***

Entry 3:
Computed, not measured: TlNiPt2S after structural relaxation at the GGA-PBE level of DFT.

Structure (POSCAR):
```
TlNiPt2S
1.0
4.674 0.000 0.000
0.000 4.674 0.000
0.000 0.000 4.180
Tl Ni Pt S
1 1 2 1
direct
0.000 0.000 0.000
0.500 0.500 0.000
0.000 0.500 0.500
0.500 0.000 0.500
0.500 0.500 0.500
```

Size of the total moment   0.00 Bohr magnetons per cell
Formation energy (no corrections)   169 meV/atom

***

Entry 4:
Computed, not measured: Ba2CdIn6Ga after structural relaxation at the GGA-PBE level of DFT.

Structure (POSCAR):
```
Ba2CdIn6Ga
1.0
3.680 2.125 13.667
-3.680 2.125 13.667
0.000 -4.249 13.667
Ba Cd In Ga
4 2 12 2
direct
0.138 0.138 0.138
0.309 0.309 0.309
0.691 0.691 0.691
0.862 0.862 0.862
0.000 0.000 0.000
0.500 0.500 0.500
0.065 0.644 0.644
0.199 0.199 0.773
0.199 0.773 0.199
0.227 0.801 0.801
0.356 0.356 0.935
0.356 0.935 0.356
0.644 0.065 0.644
0.644 0.644 0.065
0.773 0.199 0.199
0.801 0.227 0.801
0.801 0.801 0.227
0.935 0.356 0.356
0.418 0.418 0.418
0.582 0.582 0.582
```

Energy of formation from the pure elements   -0.18 eV/atom
Size of the total moment   0.00 Bohr magnetons per cell

***

Entry 5:
Computed, not measured: RbOsRh after structural relaxation at the GGA-PBE level of DFT.

Structure (POSCAR):
```
RbOsRh
1.0
4.532 0.000 0.000
0.000 4.243 0.000
-0.511 0.000 9.034
Rb Os Rh
2 2 2
direct
0.000 0.000 0.000
0.468 0.500 0.664
0.427 0.000 0.335
0.556 0.500 0.220
0.045 0.500 0.325
0.909 0.000 0.464
```

Energy of formation from the pure elements   0.61 eV/atom
Energy relative to the lowest polymorph listed for this composition   135 meV/atom
Size of the total moment   0.00 Bohr magnetons per cell

***

Entry 6:
Computed, not measured: NbFeNiRu after structural relaxation at the GGA-PBE level of DFT.

Structure (POSCAR):
```
NbFeNiRu
1.0
3.737 0.000 0.000
0.000 3.798 0.000
0.000 0.000 3.813
Nb Fe Ni Ru
1 1 1 1
direct
0.000 0.000 0.000
0.000 0.500 0.500
0.500 0.000 0.500
0.500 0.500 0.000
```

Energy of formation from the pure elements   -0.16 eV/atom
Energy relative to the lowest polymorph listed for this composition   0 meV/atom
Size of the total moment   2.13 Bohr magnetons per cell

***

Entry 7:
Computed, not measured: CsGeW3 after structural relaxation at the GGA-PBE level of DFT.

Structure (POSCAR):
```
CsGeW3
1.0
4.966 0.000 0.000
0.000 4.966 0.000
0.000 0.000 4.966
Cs Ge W
1 1 3
direct
0.000 0.000 0.000
0.500 0.500 0.500
0.000 0.000 0.500
0.000 0.500 0.000
0.500 0.000 0.000
```

Energy of formation from the pure elements   4.02 eV/atom
Energy relative to the lowest polymorph listed for this composition   1615 meV/atom
Size of the total moment   0.00 Bohr magnetons per cell

***

Entry 8:
Computed, not measured: AcNd6Tm2 after structural relaxation at the GGA-PBE level of DFT.

Structure (POSCAR):
```
AcNd6Tm2
1.0
3.677 0.000 0.000
-1.839 3.185 0.000
0.000 0.000 27.328
Ac Nd Tm
1 6 2
direct
0.000 0.000 0.000
0.000 0.000 0.227
0.000 0.000 0.434
0.000 0.000 0.566
0.000 0.000 0.773
0.333 0.667 0.117
0.333 0.667 0.883
0.333 0.667 0.332
0.333 0.667 0.668
```

Energy of formation from the pure elements   0.07 eV/atom
Energy relative to the lowest polymorph listed for this composition   8 meV/atom
Size of the total moment   0.00 Bohr magnetons per cell

***

Copy entry 6 word for word.
Computed, not measured: NbFeNiRu after structural relaxation at the GGA-PBE level of DFT.

Structure (POSCAR):
```
NbFeNiRu
1.0
3.737 0.000 0.000
0.000 3.798 0.000
0.000 0.000 3.813
Nb Fe Ni Ru
1 1 1 1
direct
0.000 0.000 0.000
0.000 0.500 0.500
0.500 0.000 0.500
0.500 0.500 0.000
```

Energy of formation from the pure elements   -0.16 eV/atom
Energy relative to the lowest polymorph listed for this composition   0 meV/atom
Size of the total moment   2.13 Bohr magnetons per cell

***

Question: Among the records above, which one has the highest size of the total moment?
Answer: Ce5Hg2Pb

***

Question: size of the total moment of number 7 (CsGeW3)?
Answer: 0.00 Bohr magnetons per cell